Record 1
Computed, not measured: crystalline LiTc3Bi at its relaxed geometry at the PBE level of DFT.

```
data_LiTc3Bi
_symmetry_space_group_name_H-M 'P m -3 m'
_symmetry_Int_Tables_number 221
_symmetry_space_group_name_Hall '-P 4 2 3'
_cell_length_a 5.134
_cell_length_b 5.134
_cell_length_c 5.134
_cell_angle_alpha 90.00
_cell_angle_beta 90.00
_cell_angle_gamma 90.00
loop_
_atom_site_label
_atom_site_type_symbol
_atom_site_fract_x
_atom_site_fract_y
_atom_site_fract_z
Li1 Li 0.000 0.000 0.000
Tc1 Tc 0.000 0.500 0.500
Bi1 Bi 0.500 0.500 0.500
```

Summary:
crystal system	cubic
offset from the most stable computed form	458	kJ/mol of formula units
energy of formation	2.151	eV per atom
electronic total energy	-5.2273	eV per atom

Record 2
Computed, not measured: crystalline Li2TcBi2 at its relaxed geometry at the PBE level of DFT.

```
data_Li2TcBi2
_symmetry_space_group_name_H-M 'P 4/m b m'
_symmetry_Int_Tables_number 127
_symmetry_space_group_name_Hall '-P 4 2ab'
_cell_length_a 7.235
_cell_length_b 7.235
_cell_length_c 4.049
_cell_angle_alpha 90.00
_cell_angle_beta 90.00
_cell_angle_gamma 90.00
loop_
_atom_site_label
_atom_site_type_symbol
_atom_site_fract_x
_atom_site_fract_y
_atom_site_fract_z
Li1 Li 0.155 0.345 0.000
Tc1 Tc 0.000 0.000 0.500
Bi1 Bi 0.154 0.654 0.500
```

Summary:
crystal system	tetragonal
energy of formation	0.115	eV per atom
electronic total energy	-4.2766	eV per atom

Size of the total moment list, top to bottom, in μB/f.u.: 6.86 0.00